Th4GeBi2Te (PBE, relaxed); E_tot = -6.422 eV per atom
1.0
4.4616 0.0000 0.0000
0.0000 7.8372 -0.1907
0.0000 2.7242 7.2894
Th Ge Bi Te
4 1 2 1
Direct
0.0000 0.7298 0.7411
0.0000 0.2702 0.2589
0.5000 0.7226 0.2728
0.5000 0.2774 0.7272
0.0000 0.5000 0.5000
0.0000 0.0000 0.0000
0.5000 0.0000 0.5000
0.5000 0.5000 0.0000